[1]
Mg2HgP2 | PBE | optimized geometry

```
Mg2HgP2
1.0
-3.775 -1.671 2.265
-1.449 -2.096 -3.960
-0.225 -5.714 0.307
P Mg Hg
2 2 1
direct
0.380 0.380 0.239
0.620 0.620 0.761
0.750 0.250 0.500
0.250 0.750 0.500
0.000 0.000 0.000
```

Results
Crystal system: tetragonal
SG: No. 139
Energy above the most stable polymorph in this dataset in eV per atom: 0.000

***

[2]
MgHgP2 | PBE | optimized geometry

```
MgHgP2
1.0
7.264 0.028 -0.004
5.502 4.743 0.004
-6.246 -2.754 2.486
Hg Mg P
1 1 2
direct
0.559 0.559 0.000
0.230 0.730 0.500
0.911 0.911 0.000
0.800 0.300 0.500
```

Results
Crystal system: orthorhombic
SG: No. 44
Energy above the most stable polymorph in this dataset in eV per atom: 0.033

***

[3]
MgHgP2 | PBE | optimized geometry

```
MgHgP2
1.0
-2.074 -5.284 1.344
3.147 -4.261 2.443
-1.232 5.673 0.573
Hg Mg P
1 1 2
direct
0.500 0.500 0.000
0.750 0.250 0.500
0.000 0.000 0.000
0.250 0.750 0.500
```

Results
Crystal system: tetragonal
SG: No. 119
Energy above the most stable polymorph in this dataset in eV per atom: 0.331

***

[4]
MgHgP2 | PBE | optimized geometry

```
MgHgP2
1.0
-4.563 0.341 2.217
-4.967 -0.740 -0.799
-0.314 -5.518 2.018
Hg Mg P
1 1 2
direct
0.750 0.750 0.750
0.250 0.250 0.250
0.989 0.989 0.121
0.511 0.511 0.379
```

Results
Crystal system: monoclinic
SG: No. 12
Energy above the most stable polymorph in this dataset in eV per atom: 0.028

***

[5]
MgHgP2 | PBE | optimized geometry

```
MgHgP2
1.0
5.026 0.000 0.000
0.000 5.026 0.000
2.513 2.513 7.384
P Mg Hg
4 2 2
direct
0.613 0.125 0.250
0.137 0.625 0.250
0.375 0.387 0.750
0.875 0.863 0.750
0.500 0.500 0.000
0.250 0.750 0.500
0.000 0.000 0.000
0.750 0.250 0.500
```

Results
Crystal system: tetragonal
SG: No. 122
Energy above the most stable polymorph in this dataset in eV per atom: 0.248

***

[6]
MgHgP | PBE | optimized geometry

```
MgHgP
1.0
6.724 0.460 0.072
4.545 4.977 -0.072
-5.376 -3.253 2.437
Hg Mg P
1 1 1
direct
0.996 0.996 0.000
0.221 0.221 0.000
0.782 0.782 0.000
```

Results
Crystal system: orthorhombic
SG: No. 44
Energy above the most stable polymorph in this dataset in eV per atom: 0.000

***

[7]
MgHgP3 | PBE | optimized geometry

```
MgHgP3
1.0
4.833 0.000 0.000
0.000 4.833 0.000
0.000 0.000 4.833
P Mg Hg
3 1 1
direct
0.000 0.500 0.000
0.000 0.000 0.500
0.500 0.000 0.000
0.000 0.000 0.000
0.500 0.500 0.500
```

Results
Crystal system: cubic
SG: No. 221
Energy above the most stable polymorph in this dataset in eV per atom: 0.000

***

[8]
MgHgP2 | PBE | optimized geometry

```
MgHgP2
1.0
4.553 0.015 0.000
-1.214 4.388 0.000
0.000 0.000 3.736
Hg Mg P
1 1 2
direct
0.500 0.000 0.500
0.000 0.500 0.500
0.000 0.000 0.000
0.500 0.500 0.000
```

Results
Crystal system: orthorhombic
SG: No. 65
Energy above the most stable polymorph in this dataset in eV per atom: 0.284

***

[9]
Mg2HgP2 | PBE | optimized geometry

```
Mg2HgP2
1.0
7.967 0.000 0.000
0.000 7.967 0.000
0.000 0.000 2.972
P Mg Hg
4 4 2
direct
0.344 0.844 0.000
0.844 0.656 0.000
0.656 0.156 0.000
0.156 0.344 0.000
0.143 0.643 0.500
0.643 0.857 0.500
0.857 0.357 0.500
0.357 0.143 0.500
0.000 0.000 0.000
0.500 0.500 0.000
```

Results
Crystal system: tetragonal
SG: No. 127
Energy above the most stable polymorph in this dataset in eV per atom: 0.200

***

[10]
MgHgP2 | PBE | optimized geometry

```
MgHgP2
1.0
3.267 -0.055 0.000
-0.110 3.265 0.000
0.000 0.000 7.252
Hg Mg P
1 1 2
direct
0.000 0.000 0.521
0.500 0.500 0.783
0.000 0.000 0.044
0.500 0.500 0.152
```

Results
Crystal system: orthorhombic
SG: No. 35
Energy above the most stable polymorph in this dataset in eV per atom: 0.147

***

[11]
MgHgP2 | PBE | optimized geometry

```
MgHgP2
1.0
-1.776 1.835 -2.384
-0.879 -2.964 -1.627
-6.608 -0.522 4.522
Hg Mg P
1 1 2
direct
0.500 0.500 0.250
0.500 0.500 0.750
0.000 0.000 0.884
0.000 0.000 0.616
```

Results
Crystal system: tetragonal
SG: No. 123
Energy above the most stable polymorph in this dataset in eV per atom: 0.032

***

[12]
Mg4HgP | PBE | optimized geometry

```
Mg4HgP
1.0
-1.289 -3.944 -3.920
-4.568 -3.347 0.714
-4.585 0.679 -3.332
Mg Hg P
4 1 1
direct
0.872 0.376 0.376
0.376 0.376 0.872
0.376 0.872 0.376
0.376 0.376 0.376
0.000 0.000 0.000
0.750 0.750 0.750
```

Results
Crystal system: cubic
SG: No. 216
E in eV for the cell shown: -10.9

***

[13]
MgHgP2 | PBE | optimized geometry

```
MgHgP2
1.0
-2.821 2.442 -1.008
-2.817 -3.344 -0.216
-1.008 0.577 4.221
Hg Mg P
1 1 2
direct
0.500 0.500 0.000
0.500 0.000 0.500
0.000 0.000 0.000
0.000 0.500 0.500
```

Results
Crystal system: tetragonal
SG: No. 123
Energy above the most stable polymorph in this dataset in eV per atom: 0.331

***

[14]
MgHgP2 | PBE | optimized geometry

```
MgHgP2
1.0
-4.919 4.068 -2.546
-6.341 2.650 0.046
1.369 3.246 2.525
Hg Mg P
1 1 2
direct
0.447 0.447 0.421
0.233 0.233 0.343
0.103 0.103 0.905
0.717 0.717 0.832
```

Results
Crystal system: monoclinic
SG: No. 8
Energy above the most stable polymorph in this dataset in eV per atom: 0.000

***

[15]
MgHgP | PBE | optimized geometry

```
MgHgP
1.0
-4.038 1.138 1.691
-2.887 -3.221 1.324
-0.859 -0.597 4.401
Hg Mg P
1 1 1
direct
0.500 0.500 0.500
0.750 0.750 0.750
0.000 0.000 0.000
```

Results
Crystal system: cubic
SG: No. 216
Energy above the most stable polymorph in this dataset in eV per atom: 0.103

***

[16]
MgHgP | PBE | optimized geometry

```
MgHgP
1.0
-1.770 -0.209 -3.731
-1.440 -2.321 3.105
-2.756 3.218 1.127
Hg Mg P
1 1 1
direct
0.000 0.000 0.968
0.667 0.333 0.404
0.333 0.667 0.628
```

Results
Crystal system: trigonal
SG: No. 156
Energy above the most stable polymorph in this dataset in eV per atom: 0.030

***

[17]
MgHg4P | PBE | optimized geometry

```
MgHg4P
1.0
0.000 4.172 4.172
4.172 0.000 4.172
4.172 4.172 0.000
Mg Hg P
1 4 1
direct
0.750 0.750 0.750
0.876 0.375 0.375
0.375 0.375 0.876
0.375 0.876 0.375
0.375 0.375 0.375
0.000 0.000 0.000
```

Results
Crystal system: cubic
SG: No. 216
E in eV for the cell shown: -5.7

***

[18]
MgHgP2 | PBE | optimized geometry

```
MgHgP2
1.0
-1.334 -3.020 3.424
-4.620 -0.691 0.894
-2.050 -4.136 -1.143
P Mg Hg
2 1 1
direct
0.250 0.250 0.250
0.750 0.750 0.750
0.000 0.000 0.000
0.500 0.500 0.500
```

Results
Crystal system: cubic
SG: No. 225
Energy above the most stable polymorph in this dataset in eV per atom: 0.449

***

[19]
MgHgP2 | PBE | optimized geometry

```
MgHgP2
1.0
-2.681 0.395 -0.841
0.359 -1.934 -2.046
-3.068 -7.290 6.353
Hg Mg P
1 1 2
direct
0.500 0.500 0.250
0.500 0.500 0.750
0.000 0.000 0.937
0.000 0.000 0.563
```

Results
Crystal system: tetragonal
SG: No. 123
Energy above the most stable polymorph in this dataset in eV per atom: 0.236

***

[20]
MgHg2PS | PBE | optimized geometry

```
MgHg2PS
1.0
5.213 0.000 0.000
0.000 4.622 0.000
0.000 0.000 5.213
Mg P S Hg
1 1 1 2
direct
0.000 0.500 0.000
0.500 0.500 0.500
0.000 0.000 0.000
0.000 0.000 0.500
0.500 0.000 0.000
```

Results
Crystal system: tetragonal
SG: No. 123
Raw formation energy in kJ per mole of atoms: 38